Compound: Ac5Tb2Sm5
Source: Alexandria
Functional: PBE-GGA
Structure: optimized geometry

Calculated values
final energy	-52.81	eV/cell

Unit cell a=5.337 b=8.396 c=11.348 alpha=72.71 beta=76.40 gamma=71.47
Fractional coordinates of all 12 atoms:
Ac  0.840  0.824  0.496
Ac  0.253  0.740  0.753
Ac  0.747  0.260  0.247
Ac  0.160  0.176  0.504
Ac  0.000  0.000  0.000
Tb  0.916  0.410  0.758
Tb  0.084  0.590  0.242
Sm  0.500  0.500  0.500
Sm  0.332  0.336  0.001
Sm  0.421  0.909  0.248
Sm  0.579  0.091  0.752
Sm  0.668  0.664  0.999



Compound: PmZn9Fe3
Source: Alexandria
Functional: PBE-GGA
Structure: optimized geometry

Calculated values
final energy	-42.81	eV/cell

Unit cell a=5.028 b=6.789 c=6.749 alpha=81.76 beta=68.13 gamma=67.37
Fractional coordinates of all 13 atoms:
Pm  0.000  0.000  0.000
Zn  0.727  0.774  0.770
Zn  0.273  0.226  0.230
Zn  0.503  0.226  0.770
Zn  0.497  0.774  0.230
Zn  0.636  0.340  0.349
Zn  0.364  0.660  0.651
Zn  0.015  0.660  0.349
Zn  0.985  0.340  0.651
Zn  0.000  0.500  0.000
Fe  0.500  0.500  0.000
Fe  0.000  0.000  0.500
Fe  0.500  0.000  0.500



Compound: Pa2CdOs
Source: Alexandria
Functional: PBE-GGA
Structure: optimized geometry

Calculated values
final energy	-29.71	eV/cell
polymorph energy (0 for the lowest one)	0.512	eV/atom

Unit cell a=3.722 b=3.722 c=10.303 alpha=79.60 beta=79.60 gamma=60.00
Fractional coordinates of all 4 atoms:
Pa  0.111  0.111  0.667
Pa  0.889  0.889  0.333
Os  0.500  0.500  0.500
Cd  0.000  0.000  0.000



Number 1: total magnetization 0.00 μB per cell, ΔH_f (0 K) 4.7 kJ per mole of atoms. Number 2: total magnetization 5.76 μB per cell, ΔH_f (0 K) -8.9 kJ per mole of atoms. Number 3: total magnetization 1.04 μB per cell, ΔH_f (0 K) 34.4 kJ per mole of atoms.